A geometry-optimized TaZn2FeO6 structure. Source: Alexandria, functional PBE with a Hubbard U.

The calculation puts the energy above the most stable polymorph in this dataset at 136.8 meV per atom. The total magnetization comes out at 0.103 μB/atom. Its uncorrected energy is -6.695 eV per atom.

a b c (Å): 5.4829 5.4829 5.4829
angles (deg): 56.46 56.46 56.46
Atoms (fractional coordinates):
Ta (0.0000, 0.0000, 0.0000)
Zn (0.2354, 0.2354, 0.2354)
Zn (0.7806, 0.7806, 0.7806)
Fe (0.4958, 0.4958, 0.4958)
O (0.1217, 0.3726, 0.7453)
O (0.2347, 0.8680, 0.6204)
O (0.3726, 0.7453, 0.1217)
O (0.6204, 0.2347, 0.8680)
O (0.7453, 0.1217, 0.3726)
O (0.8680, 0.6204, 0.2347)